1.
Pr2ErVO6 | Alexandria via LeMat-Bulk | PBE with a Hubbard U | relaxed; crystal system = monoclinic; size of the total moment = 2.0 μB/f.u.; calculated total energy = -8.220 eV per atom
1.0
5.667 0.000 0.000
0.000 5.895 0.000
-5.568 0.000 8.225
Pr Er V O
4 2 2 12
direct
0.232 0.057 0.250
0.232 0.443 0.750
0.768 0.557 0.250
0.768 0.943 0.750
0.500 0.000 0.000
0.500 0.500 0.500
0.000 0.000 0.500
0.000 0.500 0.000
0.126 0.210 0.939
0.126 0.290 0.439
0.232 0.692 0.941
0.232 0.808 0.441
0.355 0.044 0.741
0.355 0.456 0.241
0.645 0.544 0.759
0.645 0.956 0.259
0.768 0.192 0.559
0.768 0.308 0.059
0.874 0.710 0.561
0.874 0.790 0.061


2.
PrErV2O8 | Alexandria via LeMat-Bulk | PBE with a Hubbard U | relaxed; crystal system = tetragonal; size of the total moment = 0.0 μB/f.u.; calculated total energy = -8.035 eV per atom
1.0
-3.663 3.663 3.211
3.663 -3.663 3.211
3.663 3.663 -3.211
Pr Er V O
1 1 2 8
direct
0.000 0.000 0.000
0.750 0.250 0.500
0.250 0.750 0.500
0.500 0.500 0.000
0.071 0.393 0.322
0.071 0.749 0.678
0.145 0.331 0.813
0.251 0.929 0.322
0.518 0.331 0.187
0.607 0.929 0.678
0.669 0.482 0.813
0.669 0.855 0.187


3.
PrEr2WO8 | Alexandria via LeMat-Bulk | PBE with a Hubbard U | relaxed; crystal system = monoclinic; size of the total moment = 0.8 μB/f.u.; calculated total energy = -7.896 eV per atom
1.0
5.023 0.000 0.000
0.000 6.988 0.000
-0.041 0.000 5.023
Pr Er W O
1 2 1 8
direct
0.000 0.000 0.000
0.500 0.261 0.500
0.500 0.739 0.500
0.000 0.500 0.000
0.186 0.295 0.813
0.186 0.705 0.813
0.279 0.500 0.278
0.323 0.000 0.322
0.677 0.000 0.678
0.721 0.500 0.722
0.814 0.295 0.187
0.814 0.705 0.187